No. 1
Crystalline CaAl3Ga at its relaxed geometry. Source: Alexandria, functional GGA-PBE.

Results
The energy relative to the elements is 1.164 eV per atom. The volume comes out at 178 Å³ per cell.

a b c (Å): 5.627 5.627 5.627
angles (deg): 90.00 90.00 90.00
Element x y z (fractional)
1 Al 0.500 0.000 0.000
2 Al 0.000 0.500 0.000
3 Ca 0.000 0.000 0.000
4 Ga 0.500 0.500 0.500
5 Al 0.000 0.000 0.500

---

No. 2
Crystalline CaAl3Ga3 at its relaxed geometry. Source: Alexandria, functional GGA-PBE.

Results
The energy relative to the elements is 0.162 eV per atom. The volume comes out at 356 Å³ per cell.

a b c (Å): 7.089 7.089 7.089
angles (deg): 90.00 90.00 90.00
Element x y z (fractional)
1 Al 0.500 0.000 0.250
2 Al 0.000 0.250 0.500
3 Ga 0.000 0.500 0.250
4 Ga 0.500 0.750 0.000
5 Al 0.000 0.750 0.500
6 Ga 0.000 0.500 0.750
7 Ga 0.250 0.000 0.500
8 Ca 0.000 0.000 0.000
9 Al 0.500 0.000 0.750
10 Ga 0.750 0.000 0.500
11 Al 0.750 0.500 0.000
12 Ga 0.500 0.250 0.000
13 Al 0.250 0.500 0.000
14 Ca 0.500 0.500 0.500

---

No. 3
Crystalline Ca7Al2Ga2 at its relaxed geometry. Source: Alexandria, functional GGA-PBE.

Results
The energy relative to the elements is -0.106 eV per atom. The volume comes out at 356 Å³ per cell.

a b c (Å): 6.981 7.889 6.981
angles (deg): 90.00 112.10 90.00
Element x y z (fractional)
1 Ca 0.000 0.719 0.500
2 Al 0.165 0.500 0.165
3 Ga 0.709 0.000 0.291
4 Ca 0.500 0.254 0.500
5 Ga 0.291 0.000 0.709
6 Ca 0.500 0.281 0.000
7 Ca 0.000 0.281 0.500
8 Al 0.835 0.500 0.835
9 Ca 0.500 0.746 0.500
10 Ca 0.500 0.719 0.000
11 Ca 0.000 0.000 0.000

---

No. 4
Crystalline Ca6AlGa2 at its relaxed geometry. Source: Alexandria, functional GGA-PBE.

Results
The energy relative to the elements is -0.265 eV per atom. The volume comes out at 560 Å³ per cell.

a b c (Å): 9.013 9.013 9.013
angles (deg): 104.37 111.68 112.49
Element x y z (fractional)
1 Ca 0.188 0.749 0.937
2 Ga 0.500 0.383 0.883
3 Ca 0.311 0.648 0.337
4 Ca 0.812 0.251 0.063
5 Ca 0.689 0.026 0.337
6 Ca 0.188 0.251 0.439
7 Ca 0.456 0.277 0.179
8 Al 0.000 0.500 0.500
9 Ga 0.500 0.617 0.117
10 Ca 0.812 0.749 0.561
11 Ga 0.682 0.000 0.682
12 Ca 0.544 0.723 0.821
13 Ca 0.902 0.723 0.179
14 Al 0.000 0.000 0.000
15 Ca 0.098 0.277 0.821
16 Ga 0.318 0.000 0.318
17 Ca 0.689 0.352 0.663
18 Ca 0.311 0.974 0.663

---

No. 5
Crystalline Ca2AlGa at its relaxed geometry. Source: Alexandria, functional GGA-PBE.

Results
The energy relative to the elements is 0.171 eV per atom. The volume comes out at 121 Å³ per cell.

a b c (Å): 3.599 3.599 10.984
angles (deg): 80.57 80.57 60.00
Element x y z (fractional)
1 Al 0.000 0.000 0.000
2 Ga 0.500 0.500 0.500
3 Ca 0.903 0.903 0.290
4 Ca 0.097 0.097 0.710

---

No. 6
Crystalline CaAl2Ga6 at its relaxed geometry. Source: Alexandria, functional GGA-PBE.

Results
The energy relative to the elements is -0.054 eV per atom. The volume comes out at 173 Å³ per cell.

a b c (Å): 3.108 8.009 8.009
angles (deg): 120.00 90.00 90.00
Element x y z (fractional)
1 Ca 0.000 0.000 0.000
2 Ga 0.500 0.000 0.659
3 Ga 0.500 0.659 0.000
4 Ga 0.500 0.341 0.341
5 Al 0.000 0.667 0.333
6 Ga 0.500 0.659 0.659
7 Ga 0.500 0.000 0.341
8 Ga 0.500 0.341 0.000
9 Al 0.000 0.333 0.667